Record 1
VASP calculation (GGA-PBE) on RbPPtCl2 after structural relaxation.

Structure (extended XYZ):
```
5
Lattice="5.472 0.000 0.000 0.000 5.472 0.000 0.000 0.000 4.442" Properties=species:S:1:pos:R:3 pbc="T T T"
Rb 0.000 0.000 0.000
P 2.736 2.736 0.000
Pt 2.736 2.736 2.221
Cl 0.000 2.736 2.221
Cl 2.736 0.000 2.221
```

Output
space-group type	P4/mmm (123)
excess energy over the best structure of this formula in the dataset	0	meV/atom

Record 2
VASP calculation (GGA-PBE) on Rb2PPtCl6 after structural relaxation.

Structure (extended XYZ):
```
10
Lattice="-3.668 3.668 4.547 3.668 -3.668 4.547 3.668 3.668 -4.547" Properties=species:S:1:pos:R:3 pbc="T T T"
Rb 3.668 0.000 2.273
Rb 0.000 3.668 2.273
P 0.000 0.000 0.000
Pt 0.000 0.000 4.547
Cl 1.798 1.798 0.000
Cl 1.870 -1.870 4.547
Cl 0.000 0.000 2.240
Cl 0.000 0.000 6.854
Cl -1.870 1.870 4.547
Cl 1.870 1.870 4.547
```

Output
space-group type	I4/mmm (139)

Record 3
VASP calculation (GGA-PBE) on Rb2PPtCl after structural relaxation.

Structure (extended XYZ):
```
5
Lattice="6.572 0.000 0.000 0.000 6.572 0.000 0.000 0.000 4.352" Properties=species:S:1:pos:R:3 pbc="T T T"
Rb 0.000 3.286 0.000
Rb 3.286 0.000 0.000
P 0.000 0.000 2.176
Pt 0.000 0.000 0.000
Cl 3.286 3.286 2.176
```

Output
space-group type	P4/mmm (123)

Record 4
VASP calculation (GGA-PBE) on PPtRhCl2 after structural relaxation.

Structure (extended XYZ):
```
5
Lattice="4.987 0.000 0.000 0.000 4.987 0.000 0.000 0.000 4.521" Properties=species:S:1:pos:R:3 pbc="T T T"
P 0.000 0.000 0.000
Pt 0.000 0.000 2.260
Rh 2.493 2.493 0.000
Cl 0.000 2.493 2.260
Cl 2.493 0.000 2.260
```

Output
space-group type	P4/mmm (123)
excess energy over the best structure of this formula in the dataset	83	meV/atom

Record 5
VASP calculation (GGA-PBE) on PPtRhCl2 after structural relaxation.

Structure (extended XYZ):
```
5
Lattice="4.765 0.000 0.000 0.000 4.765 0.000 0.000 0.000 4.528" Properties=species:S:1:pos:R:3 pbc="T T T"
P 0.000 0.000 0.000
Pt 2.383 2.383 0.000
Rh 0.000 0.000 2.264
Cl 0.000 2.383 2.264
Cl 2.383 0.000 2.264
```

Output
space-group type	P4/mmm (123)
excess energy over the best structure of this formula in the dataset	0	meV/atom

Record 6
VASP calculation (GGA-PBE) on PPt2RhCl after structural relaxation.

Structure (extended XYZ):
```
5
Lattice="4.567 0.000 0.000 0.000 4.567 0.000 0.000 0.000 4.411" Properties=species:S:1:pos:R:3 pbc="T T T"
P 0.000 0.000 0.000
Pt 0.000 2.283 2.205
Pt 2.283 0.000 2.205
Rh 2.283 2.283 0.000
Cl 2.283 2.283 2.205
```

Output
space-group type	P4/mmm (123)

Record 7
VASP calculation (GGA-PBE) on P2RuPtCl after structural relaxation.

Structure (extended XYZ):
```
5
Lattice="4.495 0.000 0.000 0.000 4.495 0.000 0.000 0.000 4.813" Properties=species:S:1:pos:R:3 pbc="T T T"
P 0.000 2.248 0.000
P 2.248 0.000 0.000
Ru 0.000 0.000 0.000
Pt 2.248 2.248 2.406
Cl 0.000 0.000 2.406
```

Output
space-group type	P4/mmm (123)
excess energy over the best structure of this formula in the dataset	0	meV/atom

Record 8
VASP calculation (GGA-PBE) on P2RuPtCl after structural relaxation.

Structure (extended XYZ):
```
5
Lattice="4.634 0.000 0.000 0.000 4.634 0.000 0.000 0.000 4.890" Properties=species:S:1:pos:R:3 pbc="T T T"
P 0.000 2.317 0.000
P 2.317 0.000 0.000
Ru 0.000 0.000 2.445
Pt 2.317 2.317 0.000
Cl 2.317 2.317 2.445
```

Output
space-group type	P4/mmm (123)
excess energy over the best structure of this formula in the dataset	345	meV/atom

Record 9
VASP calculation (GGA-PBE) on PPtSCl2 after structural relaxation.

Structure (extended XYZ):
```
5
Lattice="4.854 0.000 0.000 0.000 4.854 0.000 0.000 0.000 4.739" Properties=species:S:1:pos:R:3 pbc="T T T"
P 0.000 0.000 0.000
Pt 2.427 2.427 2.369
S 2.427 2.427 0.000
Cl 0.000 2.427 2.369
Cl 2.427 0.000 2.369
```

Output
space-group type	P4/mmm (123)
excess energy over the best structure of this formula in the dataset	35	meV/atom

Record 10
VASP calculation (GGA-PBE) on P2PtSCl after structural relaxation.

Structure (extended XYZ):
```
5
Lattice="4.688 0.000 0.000 0.000 4.688 0.000 0.000 0.000 4.792" Properties=species:S:1:pos:R:3 pbc="T T T"
P 0.000 2.344 0.000
P 2.344 0.000 0.000
Pt 0.000 0.000 0.000
S 2.344 2.344 2.396
Cl 0.000 0.000 2.396
```

Output
space-group type	P4/mmm (123)
excess energy over the best structure of this formula in the dataset	0	meV/atom

Record 11
VASP calculation (GGA-PBE) on PPtSCl2 after structural relaxation.

Structure (extended XYZ):
```
5
Lattice="4.388 0.000 0.000 0.000 4.388 0.000 0.000 0.000 5.297" Properties=species:S:1:pos:R:3 pbc="T T T"
P 0.000 0.000 0.000
Pt 2.194 2.194 0.000
S 0.000 0.000 2.649
Cl 0.000 2.194 2.649
Cl 2.194 0.000 2.649
```

Output
space-group type	P4/mmm (123)
excess energy over the best structure of this formula in the dataset	411	meV/atom

Record 12
VASP calculation (GGA-PBE) on P2PtSCl after structural relaxation.

Structure (extended XYZ):
```
5
Lattice="4.697 0.000 0.000 0.000 4.697 0.000 0.000 0.000 4.866" Properties=species:S:1:pos:R:3 pbc="T T T"
P 0.000 2.349 0.000
P 2.349 0.000 0.000
Pt 0.000 0.000 0.000
S 0.000 0.000 2.433
Cl 2.349 2.349 2.433
```

Output
space-group type	P4/mmm (123)
excess energy over the best structure of this formula in the dataset	25	meV/atom

Record 13
VASP calculation (GGA-PBE) on P2PtSCl after structural relaxation.

Structure (extended XYZ):
```
5
Lattice="4.616 0.000 0.000 0.000 4.616 0.000 0.000 0.000 4.319" Properties=species:S:1:pos:R:3 pbc="T T T"
P 0.000 2.308 0.000
P 2.308 0.000 0.000
Pt 0.000 0.000 2.160
S 2.308 2.308 0.000
Cl 2.308 2.308 2.160
```

Output
space-group type	P4/mmm (123)
excess energy over the best structure of this formula in the dataset	335	meV/atom

Record 14
VASP calculation (GGA-PBE) on PPtSCl2 after structural relaxation.

Structure (extended XYZ):
```
5
Lattice="4.874 0.000 0.000 0.000 4.874 0.000 0.000 0.000 4.681" Properties=species:S:1:pos:R:3 pbc="T T T"
P 0.000 0.000 0.000
Pt 0.000 0.000 2.340
S 2.437 2.437 0.000
Cl 0.000 2.437 2.340
Cl 2.437 0.000 2.340
```

Output
space-group type	P4/mmm (123)
excess energy over the best structure of this formula in the dataset	0	meV/atom

Record 15
VASP calculation (GGA-PBE) on P2PtSCl after structural relaxation.

Structure (extended XYZ):
```
5
Lattice="4.502 0.000 0.000 0.000 4.502 0.000 0.000 0.000 4.566" Properties=species:S:1:pos:R:3 pbc="T T T"
P 0.000 2.251 0.000
P 2.251 0.000 0.000
Pt 0.000 0.000 2.283
S 2.251 2.251 2.283
Cl 2.251 2.251 0.000
```

Output
space-group type	P4/mmm (123)
excess energy over the best structure of this formula in the dataset	777	meV/atom

| no. | formation energy (no corrections) (eV/atom) |
| --- | --- |
| 1 | -0.55 |
| 2 | -0.87 |
| 3 | -0.83 |
| 4 | 0.78 |
| 5 | 0.70 |
| 6 | 1.18 |
| 7 | 0.77 |
| 8 | 1.11 |
| 9 | 0.62 |
| 10 | 0.77 |
| 11 | 1.00 |
| 12 | 0.79 |
| 13 | 1.10 |
| 14 | 0.59 |
| 15 | 1.54 |